Record 1
DFT (PBE) results for a relaxed GdCdNiSn crystal.

For the energy, the calculation gives -6.446 eV per atom. The energy of formation from the pure elements comes out at -24.21 kJ/mol of atoms.

Structure (POSCAR):
```
GdCdNiSn
1.0
6.9407 0.0000 0.0000
0.0000 6.9407 0.0000
0.0000 0.0000 6.9407
Gd Cd Ni Sn
4 4 4 4
direct
0.0000 0.0000 0.0000 Gd
0.0000 0.5000 0.5000 Gd
0.5000 0.0000 0.5000 Gd
0.5000 0.5000 0.0000 Gd
0.2500 0.2500 0.7500 Cd
0.2500 0.7500 0.2500 Cd
0.7500 0.2500 0.2500 Cd
0.7500 0.7500 0.7500 Cd
0.2500 0.2500 0.2500 Ni
0.2500 0.7500 0.7500 Ni
0.7500 0.2500 0.7500 Ni
0.7500 0.7500 0.2500 Ni
0.0000 0.0000 0.5000 Sn
0.0000 0.5000 0.0000 Sn
0.5000 0.0000 0.0000 Sn
0.5000 0.5000 0.5000 Sn
```



Record 2
DFT (PBE) results for a relaxed TlMo5 crystal.

For the energy, the calculation gives -8.882 eV per atom. The energy of formation from the pure elements comes out at 51.91 kJ/mol of atoms. Its offset from the most stable computed form is 0.251 eV/atom.

Structure (POSCAR):
```
TlMo5
1.0
4.9805 0.0000 0.0000
-2.4903 4.3133 0.0000
0.0000 0.0000 4.7030
Tl Mo
1 5
direct
0.0000 0.0000 0.0000 Tl
0.0000 0.6510 0.5000 Mo
0.3333 0.6667 0.0000 Mo
0.3490 0.3490 0.5000 Mo
0.6510 0.0000 0.5000 Mo
0.6667 0.3333 0.0000 Mo
```



Record 3
DFT (PBE) results for a relaxed AlSi3B crystal.

For the energy, the calculation gives -4.679 eV per atom. Its offset from the most stable computed form is 0.000 eV/atom.

Structure (POSCAR):
```
AlSi3B
1.0
4.1761 0.0000 0.0000
0.0000 4.1761 0.0000
0.0000 0.0000 4.1761
Al Si B
1 3 1
direct
0.0000 0.0000 0.0000 Al
0.0000 0.5000 0.5000 Si
0.5000 0.0000 0.5000 Si
0.5000 0.5000 0.0000 Si
0.5000 0.5000 0.5000 B
```



Record 4
DFT (PBE) results for a relaxed Nd6Si2Sn crystal.

For the energy, the calculation gives -5.386 eV per atom.

Structure (POSCAR):
```
Nd6Si2Sn
1.0
-4.8866 5.0473 5.3235
4.8866 -5.0473 5.3235
4.8866 5.0473 -5.3235
Nd Si Sn
12 4 2
direct
0.0317 0.2381 0.7936 Nd
0.1879 0.2780 0.4659 Nd
0.1879 0.7220 0.9099 Nd
0.3196 0.0260 0.7064 Nd
0.3196 0.6132 0.2936 Nd
0.4445 0.2381 0.2064 Nd
0.5555 0.7619 0.7936 Nd
0.6804 0.3868 0.7064 Nd
0.6804 0.9740 0.2936 Nd
0.8121 0.2780 0.0901 Nd
0.8121 0.7220 0.5341 Nd
0.9683 0.7619 0.2064 Nd
0.1117 0.6117 0.5000 Si
0.3777 0.0000 0.3777 Si
0.6223 0.0000 0.6223 Si
0.8883 0.3883 0.5000 Si
0.0000 0.0000 0.0000 Sn
0.5000 0.5000 0.0000 Sn
```



Record 5
DFT (PBE) results for a relaxed Rb2BiBrO2 crystal.

For the energy, the calculation gives -4.194 eV per atom.

Structure (POSCAR):
```
Rb2BiBrO2
1.0
4.5898 0.0000 0.0000
0.0000 4.5898 0.0000
0.0000 0.0000 7.4390
Rb Bi Br O
2 1 1 2
direct
0.0000 0.0000 0.2469 Rb
0.0000 0.0000 0.7531 Rb
0.5000 0.5000 0.5000 Bi
0.5000 0.5000 0.0000 Br
0.0000 0.5000 0.5000 O
0.5000 0.0000 0.5000 O
```



Record 6
DFT (PBE) results for a relaxed YEr4Sc2 crystal.

For the energy, the calculation gives -5.138 eV per atom. The energy of formation from the pure elements comes out at 19.48 kJ/mol of atoms. Its offset from the most stable computed form is 0.115 eV/atom.

Structure (POSCAR):
```
YEr4Sc2
1.0
6.7937 0.0000 0.0000
0.0000 9.8091 0.0000
-1.9913 0.0000 6.3395
Y Er Sc
2 8 4
direct
0.0000 0.0000 0.0000 Y
0.5000 0.5000 0.0000 Y
0.1946 0.2159 0.7290 Er
0.1946 0.7841 0.7290 Er
0.3054 0.2841 0.2710 Er
0.3054 0.7159 0.2710 Er
0.6946 0.2841 0.7290 Er
0.6946 0.7159 0.7290 Er
0.8054 0.2159 0.2710 Er
0.8054 0.7841 0.2710 Er
0.0000 0.5000 0.0000 Sc
0.0000 0.5000 0.5000 Sc
0.5000 0.0000 0.0000 Sc
0.5000 0.0000 0.5000 Sc
```



Record 7
DFT (PBE) results for a relaxed Sn2HgCl4 crystal.

For the energy, the calculation gives -3.069 eV per atom. Its offset from the most stable computed form is 0.000 eV/atom.

Structure (POSCAR):
```
Sn2HgCl4
1.0
7.9702 0.0000 0.0000
0.0330 8.7327 0.0000
3.9776 3.9139 7.3507
Sn Hg Cl
4 2 8
direct
0.0000 0.0000 0.0000 Sn
0.0595 0.5340 0.9830 Sn
0.4633 0.0238 0.4244 Sn
0.8441 0.9165 0.6062 Sn
0.3720 0.4365 0.2018 Hg
0.3863 0.3320 0.8095 Hg
0.0517 0.1375 0.6686 Cl
0.0764 0.6456 0.6737 Cl
0.1291 0.0342 0.2942 Cl
0.3062 0.8097 0.8626 Cl
0.6690 0.7855 0.4578 Cl
0.6947 0.2010 0.4635 Cl
0.7119 0.1685 0.0628 Cl
0.7909 0.7112 0.0729 Cl
```



Record 8
DFT (PBE) results for a relaxed TaCoSi2 crystal.

For the energy, the calculation gives -7.670 eV per atom.

Structure (POSCAR):
```
TaCoSi2
1.0
3.8964 0.0000 0.0000
0.0000 3.8964 0.0000
0.0000 0.0000 3.5162
Ta Co Si
1 1 2
direct
0.0000 0.0000 0.0000 Ta
0.5000 0.5000 0.0000 Co
0.0000 0.5000 0.5000 Si
0.5000 0.0000 0.5000 Si
```



Record 9
DFT (PBE) results for a relaxed Be3VIn crystal.

For the energy, the calculation gives -3.352 eV per atom. The energy of formation from the pure elements comes out at 121.14 kJ/mol of atoms. Its offset from the most stable computed form is 0.000 eV/atom.

Structure (POSCAR):
```
Be3VIn
1.0
4.3039 0.0000 0.0000
0.0000 4.3039 0.0000
0.0000 0.0000 4.3039
Be V In
3 1 1
direct
0.0000 0.0000 0.5000 Be
0.0000 0.5000 0.0000 Be
0.5000 0.0000 0.0000 Be
0.0000 0.0000 0.0000 V
0.5000 0.5000 0.5000 In
```



Record 10
DFT (PBE) results for a relaxed LaPu3Se4 crystal.

For the energy, the calculation gives -9.377 eV per atom.

Structure (POSCAR):
```
LaPu3Se4
1.0
8.3861 0.0000 0.0000
0.0000 11.8685 0.0000
0.0000 0.0000 4.1979
La Pu Se
2 6 8
direct
0.0000 0.0000 0.0000 La
0.5000 0.5000 0.0000 La
0.0000 0.5000 0.0000 Pu
0.2500 0.2500 0.5000 Pu
0.2500 0.7500 0.5000 Pu
0.5000 0.0000 0.0000 Pu
0.7500 0.2500 0.5000 Pu
0.7500 0.7500 0.5000 Pu
0.0000 0.2547 0.0000 Se
0.0000 0.7453 0.0000 Se
0.2410 0.5000 0.5000 Se
0.2590 0.0000 0.5000 Se
0.5000 0.2453 0.0000 Se
0.5000 0.7547 0.0000 Se
0.7410 0.0000 0.5000 Se
0.7590 0.5000 0.5000 Se
```



Record 11
DFT (PBE) results for a relaxed ScReSbI2 crystal.

For the energy, the calculation gives -4.411 eV per atom. Its offset from the most stable computed form is 0.048 eV/atom.

Structure (POSCAR):
```
ScReSbI2
1.0
5.4664 0.0000 0.0000
0.0000 5.4664 0.0000
0.0000 0.0000 5.1273
Sc Re Sb I
1 1 1 2
direct
0.0000 0.0000 0.0000 Sc
0.5000 0.5000 0.5000 Re
0.5000 0.5000 0.0000 Sb
0.0000 0.5000 0.5000 I
0.5000 0.0000 0.5000 I
```



Record 12
DFT (PBE) results for a relaxed KLiSi crystal.

For the energy, the calculation gives -2.887 eV per atom. Its offset from the most stable computed form is 0.018 eV/atom.

Structure (POSCAR):
```
KLiSi
1.0
3.7337 0.0000 0.0000
0.0010 4.2648 0.0000
0.0739 2.1274 11.3686
K Li Si
2 2 2
direct
0.2433 0.3356 0.3253 K
0.7567 0.6644 0.6747 K
0.2482 0.9580 0.0837 Li
0.7518 0.0420 0.9163 Li
0.2513 0.5329 0.9335 Si
0.7487 0.4671 0.0665 Si
```



Record 13
DFT (PBE) results for a relaxed TcPS2Cl crystal.

For the energy, the calculation gives -4.385 eV per atom. Its offset from the most stable computed form is 0.464 eV/atom.

Structure (POSCAR):
```
TcPS2Cl
1.0
4.6575 0.0000 0.0000
0.0000 4.6575 0.0000
0.0000 0.0000 4.5943
Tc P S Cl
1 1 2 1
direct
0.0000 0.0000 0.0000 Tc
0.5000 0.5000 0.5000 P
0.0000 0.5000 0.5000 S
0.5000 0.0000 0.5000 S
0.5000 0.5000 0.0000 Cl
```



Record 14
DFT (PBE) results for a relaxed Rb2NaIrN crystal.

For the energy, the calculation gives -4.012 eV per atom.

Structure (POSCAR):
```
Rb2NaIrN
1.0
6.4816 0.0000 0.0000
0.0000 6.4816 0.0000
0.0000 0.0000 3.7316
Rb Na Ir N
2 1 1 1
direct
0.0000 0.5000 0.0000 Rb
0.5000 0.0000 0.0000 Rb
0.0000 0.0000 0.5000 Na
0.5000 0.5000 0.5000 Ir
0.5000 0.5000 0.0000 N
```



Record 15
DFT (PBE) results for a relaxed U4Os crystal.

For the energy, the calculation gives -11.356 eV per atom. The energy of formation from the pure elements comes out at -7.63 kJ/mol of atoms. Its offset from the most stable computed form is 0.000 eV/atom.

Structure (POSCAR):
```
U4Os
1.0
8.6729 0.0000 0.0000
0.0000 5.0834 0.0000
-3.9831 0.0000 4.5205
U Os
8 2
direct
0.1230 0.0000 0.3380 U
0.2353 0.5000 0.1030 U
0.2647 0.0000 0.8970 U
0.3770 0.5000 0.6620 U
0.6230 0.5000 0.3380 U
0.7353 0.0000 0.1030 U
0.7647 0.5000 0.8970 U
0.8770 0.0000 0.6620 U
0.0000 0.5000 0.5000 Os
0.5000 0.0000 0.5000 Os
```



Record 16
DFT (PBE) results for a relaxed Li2TlSbH crystal.

For the energy, the calculation gives -2.872 eV per atom. Its offset from the most stable computed form is 0.066 eV/atom.

Structure (POSCAR):
```
Li2TlSbH
1.0
4.7012 0.0000 0.0000
0.0000 4.7012 0.0000
0.0000 0.0000 4.2229
Li Tl Sb H
2 1 1 1
direct
0.0000 0.5000 0.0000 Li
0.5000 0.0000 0.0000 Li
0.0000 0.0000 0.5000 Tl
0.5000 0.5000 0.5000 Sb
0.5000 0.5000 0.0000 H
```



Record 17
DFT (PBE) results for a relaxed TmSc2Al2 crystal.

For the energy, the calculation gives -5.111 eV per atom. The energy of formation from the pure elements comes out at -18.09 kJ/mol of atoms. Its offset from the most stable computed form is 0.161 eV/atom.

Structure (POSCAR):
```
TmSc2Al2
1.0
5.2728 0.0000 0.0000
0.0000 3.4152 0.0000
-1.2910 0.0000 12.8187
Tm Sc Al
2 4 4
direct
0.1868 0.2500 0.2426 Tm
0.8132 0.7500 0.7574 Tm
0.2418 0.7500 0.4668 Sc
0.3386 0.2500 0.8858 Sc
0.6614 0.7500 0.1142 Sc
0.7582 0.2500 0.5332 Sc
0.1635 0.7500 0.0449 Al
0.2892 0.2500 0.6590 Al
0.7108 0.7500 0.3410 Al
0.8365 0.2500 0.9551 Al
```



Record 18
DFT (PBE) results for a relaxed Ca2Cu2Hg crystal.

For the energy, the calculation gives -2.532 eV per atom. The energy of formation from the pure elements comes out at -3.13 kJ/mol of atoms. Its offset from the most stable computed form is 0.204 eV/atom.

Structure (POSCAR):
```
Ca2Cu2Hg
1.0
8.2934 0.0000 0.0000
0.0000 8.2934 0.0000
0.0000 0.0000 3.6439
Ca Cu Hg
4 4 2
direct
0.1721 0.3279 0.0000 Ca
0.3279 0.8279 0.0000 Ca
0.6721 0.1721 0.0000 Ca
0.8279 0.6721 0.0000 Ca
0.1073 0.6073 0.5000 Cu
0.3927 0.1073 0.5000 Cu
0.6073 0.8927 0.5000 Cu
0.8927 0.3927 0.5000 Cu
0.0000 0.0000 0.0000 Hg
0.5000 0.5000 0.0000 Hg
```



Record 19
DFT (PBE) results for a relaxed RbLiCl crystal.

For the energy, the calculation gives -2.700 eV per atom. Its offset from the most stable computed form is 0.000 eV/atom.

Structure (POSCAR):
```
RbLiCl
1.0
4.4856 0.0000 0.0000
-2.2413 6.7082 0.0000
-0.0294 -2.1098 6.9497
Rb Li Cl
2 2 2
direct
0.0000 0.0000 0.0000 Rb
0.2196 0.4309 0.6580 Rb
0.4227 0.8391 0.3582 Li
0.7508 0.4987 0.2045 Li
0.5970 0.1893 0.3367 Cl
0.8999 0.7922 0.5064 Cl
```



Record 20
DFT (PBE) results for a relaxed BaPmTm2 crystal.

For the energy, the calculation gives -3.658 eV per atom. The energy of formation from the pure elements comes out at 23.73 kJ/mol of atoms. Its offset from the most stable computed form is 0.073 eV/atom.

Structure (POSCAR):
```
BaPmTm2
1.0
3.6014 0.0000 0.0000
-1.8007 3.1189 0.0000
0.0000 0.0000 38.4757
Ba Pm Tm
3 3 6
direct
0.0000 0.0000 0.0000 Ba
0.3333 0.6667 0.6667 Ba
0.6667 0.3333 0.3333 Ba
0.0000 0.0000 0.5000 Pm
0.3333 0.6667 0.1667 Pm
0.6667 0.3333 0.8333 Pm
0.0000 0.0000 0.0933 Tm
0.0000 0.0000 0.9067 Tm
0.3333 0.6667 0.5733 Tm
0.3333 0.6667 0.7600 Tm
0.6667 0.3333 0.2400 Tm
0.6667 0.3333 0.4267 Tm
```



Record 21
DFT (PBE) results for a relaxed RbLiHF crystal.

For the energy, the calculation gives -3.423 eV per atom.

Structure (POSCAR):
```
RbLiHF
1.0
3.8447 0.0000 0.0000
-1.9223 3.3296 0.0000
0.0000 0.0000 12.4863
Rb Li H F
2 2 2 2
direct
0.3333 0.6667 0.0000 Rb
0.6667 0.3333 0.5000 Rb
0.0000 0.0000 0.2432 Li
0.0000 0.0000 0.7432 Li
0.3333 0.6667 0.6773 H
0.6667 0.3333 0.1773 H
0.0000 0.0000 0.3861 F
0.0000 0.0000 0.8861 F
```



Record 22
DFT (PBE) results for a relaxed PrNd3Pd2 crystal.

For the energy, the calculation gives -5.390 eV per atom. The energy of formation from the pure elements comes out at -46.20 kJ/mol of atoms. Its offset from the most stable computed form is 0.000 eV/atom.

Structure (POSCAR):
```
PrNd3Pd2
1.0
6.5083 -3.5234 0.0000
6.5083 3.5234 0.0000
-2.4880 0.0000 7.6676
Pr Nd Pd
2 6 4
direct
0.2469 0.7531 0.7500 Pr
0.7531 0.2469 0.2500 Pr
0.2143 0.2152 0.1074 Nd
0.2152 0.2143 0.6074 Nd
0.2527 0.7473 0.2500 Nd
0.7473 0.2527 0.7500 Nd
0.7848 0.7857 0.3926 Nd
0.7857 0.7848 0.8926 Nd
0.3801 0.3809 0.4402 Pd
0.3809 0.3801 0.9402 Pd
0.6191 0.6199 0.0598 Pd
0.6199 0.6191 0.5598 Pd
```



Record 23
DFT (PBE) results for a relaxed CeTlPt crystal.

For the energy, the calculation gives -5.429 eV per atom. The energy of formation from the pure elements comes out at -62.57 kJ/mol of atoms.

Structure (POSCAR):
```
CeTlPt
1.0
6.8182 0.0000 0.0000
0.0000 6.8182 0.0000
0.0000 0.0000 6.8182
Ce Tl Pt
4 4 4
direct
0.0000 0.0000 0.0000 Ce
0.0000 0.5000 0.5000 Ce
0.5000 0.0000 0.5000 Ce
0.5000 0.5000 0.0000 Ce
0.0000 0.0000 0.5000 Tl
0.0000 0.5000 0.0000 Tl
0.5000 0.0000 0.0000 Tl
0.5000 0.5000 0.5000 Tl
0.2500 0.2500 0.2500 Pt
0.2500 0.7500 0.7500 Pt
0.7500 0.2500 0.7500 Pt
0.7500 0.7500 0.2500 Pt
```



Record 24
DFT (PBE) results for a relaxed LiRuBr2 crystal.

For the energy, the calculation gives -3.800 eV per atom. Its offset from the most stable computed form is 0.002 eV/atom.

Structure (POSCAR):
```
LiRuBr2
1.0
3.5473 0.0000 0.0000
0.0000 3.5473 0.0000
0.0000 0.0000 7.0345
Li Ru Br
1 1 2
direct
0.0000 0.0000 0.0000 Li
0.5000 0.5000 0.2837 Ru
0.0000 0.0000 0.3978 Br
0.5000 0.5000 0.8981 Br
```



Record 25
DFT (PBE) results for a relaxed Pa2P4PdRh3 crystal.

For the energy, the calculation gives -7.728 eV per atom. The energy of formation from the pure elements comes out at -90.72 kJ/mol of atoms.

Structure (POSCAR):
```
Pa2P4PdRh3
1.0
4.2082 0.0000 0.0000
0.0000 4.2082 0.0000
0.0000 0.0000 9.3103
Pa P Pd Rh
2 4 1 3
direct
0.0000 0.5000 0.2444 Pa
0.5000 0.0000 0.7556 Pa
0.0000 0.0000 0.0000 P
0.0000 0.5000 0.6380 P
0.5000 0.0000 0.3620 P
0.5000 0.5000 0.0000 P
0.0000 0.0000 0.5000 Pd
0.0000 0.5000 0.8891 Rh
0.5000 0.0000 0.1109 Rh
0.5000 0.5000 0.5000 Rh
```



Record 26
DFT (PBE) results for a relaxed BaCrCo2 crystal.

For the energy, the calculation gives -5.682 eV per atom. The energy of formation from the pure elements comes out at 73.06 kJ/mol of atoms. Its offset from the most stable computed form is 0.357 eV/atom.

Structure (POSCAR):
```
BaCrCo2
1.0
4.9468 0.0000 0.0000
0.0000 4.9468 0.0000
0.0000 0.0000 14.7646
Ba Cr Co
4 4 8
direct
0.0000 0.2500 0.3750 Ba
0.0000 0.7500 0.6250 Ba
0.5000 0.2500 0.1250 Ba
0.5000 0.7500 0.8750 Ba
0.0000 0.2500 0.8750 Cr
0.0000 0.7500 0.1250 Cr
0.5000 0.2500 0.6250 Cr
0.5000 0.7500 0.3750 Cr
0.0000 0.0000 0.0000 Co
0.0000 0.5000 0.0000 Co
0.2500 0.2500 0.7500 Co
0.2500 0.7500 0.2500 Co
0.5000 0.0000 0.5000 Co
0.5000 0.5000 0.5000 Co
0.7500 0.2500 0.7500 Co
0.7500 0.7500 0.2500 Co
```